(1)
DFT (PBE) results for a relaxed structure of CrSi2Se.

abc: 7.468 7.468 7.468
angles: 23.84 23.84 23.84
Atoms (fractional coordinates):
Se 0.750 0.750 0.750
Cr 0.250 0.250 0.250
Si 0.991 0.991 0.991
Si 0.509 0.509 0.509

Calculated values
formation energy without anion corrections = 1.08 eV per formula unit
final energy = -5.717 eV/atom



(2)
DFT (PBE) results for a relaxed structure of CrSiSe2.

abc: 4.705 4.705 4.705
angles: 60.00 60.00 60.00
Atoms (fractional coordinates):
Si 0.750 0.750 0.750
Se 0.000 0.000 0.000
Se 0.250 0.250 0.250
Cr 0.500 0.500 0.500

Calculated values
formation energy without anion corrections = 2.40 eV per formula unit
final energy = -4.903 eV/atom



(3)
DFT (PBE) results for a relaxed structure of CrSiSe2.

abc: 5.390 5.390 5.390
angles: 141.37 97.77 94.79
Atoms (fractional coordinates):
Se 0.494 0.494 0.000
Se 0.006 0.006 0.000
Cr 0.250 0.750 0.500
Si 0.750 0.250 0.500

Calculated values
formation energy without anion corrections = 0.90 eV per formula unit
final energy = -5.279 eV/atom